## CsNa2In9 (PBE)

Data for an optimized crystal structure of CsNa2In9.

abc: 6.4283 6.4283 10.9060
angles: 72.86 72.86 60.00
Last column: nearest neighbours and their distance in Å.
Fractional coordinates of all 12 atoms:
In 0.5000 0.5000 0.5000  6 In 3.09
In 0.6630 0.6630 0.0110  6 In 3.22-3.34
In 0.4070 0.4070 0.2636  7 In 3.09-3.34
In 0.0776 0.5930 0.7364  7 In 3.09-3.34
In 0.9224 0.4070 0.2636  7 In 3.09-3.34
In 0.5930 0.5930 0.7364  7 In 3.09-3.34
In 0.3370 0.3370 0.9890  6 In 3.22-3.34
In 0.4070 0.9224 0.2636  7 In 3.09-3.34
In 0.5930 0.0776 0.7364  7 In 3.09-3.34
Na 0.1419 0.1419 0.5742  12 In 3.62-3.79, 3 Na 4.01
Na 0.8581 0.8581 0.4258  12 In 3.62-3.79, 3 Na 4.01
Cs 0.0000 0.0000 0.0000  6 In 3.71

Results
space group = No. 166
M_tot = 0.00 μB/f.u.
density of states at the Fermi level = 6.85 states/eV per cell
E_form = -0.060 eV per atom